[1]
Here is crystalline Li5Si2Pd12 at its relaxed geometry from Alexandria via LeMat-Bulk. Energies are from PBE.

Unit cell a=13.0367 b=8.6491 c=5.0531 alpha=90.00 beta=100.80 gamma=90.00
With the nearest neighbours (Å) after each atom.
Space group C2/m (No. 12)
Unique sites:
Li: 0.0000 0.0000 0.0000  6 Pd 2.53-2.66, 2 Li 2.79
Li: 0.1819 0.5000 0.4035  6 Pd 2.54-2.77, 1 Li 2.75
Li: 0.2156 0.0000 0.0241  8 Pd 2.63-2.93, 2 Li 2.75-2.79
Si: 0.0000 0.2481 0.5000  8 Pd 2.36-2.59
Pd: 0.0484 0.5000 0.7704  2 Si 2.59, 1 Li 2.77, 8 Pd 2.79-2.87
Pd: 0.0982 0.2642 0.1525  1 Si 2.36, 1 Li 2.54
Pd: 0.1039 0.0000 0.4768  2 Li 2.53-2.75, 2 Si 2.55, 5 Pd 2.70-2.80
Pd: 0.1919 0.2600 0.7152  1 Si 2.54, 3 Li 2.59-2.72, 3 Pd 2.70-2.72

Values from the calculation:
* electronic total energy: -4.81 eV/atom
* N(E_F): 7.8 states/eV/f.u.
* formation energy (no corrections): -43.9 kJ/mol of atoms
* magnetization: 0.0 μB/f.u.
* crystal system: monoclinic

[2]
Here is crystalline KRe at its relaxed geometry from Alexandria via LeMat-Bulk. Energies are from PBE.

Unit cell a=14.7655 b=14.7655 c=3.4173 alpha=90.00 beta=90.00 gamma=90.00
With the nearest neighbours (Å) after each atom.
Space group I4/m (No. 87)
Unique sites:
K: 0.0371 0.7481 0.0000  4 Re 3.36-3.54, 2 K 3.42
Re: 0.1991 0.2584 0.0000  2 Re 2.29

Values from the calculation:
* electronic total energy: -5.40 eV/atom
* offset from the most stable computed form: 542 meV/atom
* N(E_F): 1.2 states/eV/f.u.
* magnetization: 0.0 μB/f.u.
* crystal system: tetragonal

[3]
Here is crystalline Mg2AlSe at its relaxed geometry from Alexandria via LeMat-Bulk. Energies are from PBE.

Unit cell a=4.3664 b=4.3664 c=8.6711 alpha=90.00 beta=90.00 gamma=90.00
With the nearest neighbours (Å) after each atom.
Space group I4/mmm (No. 139)
Unique sites:
Mg: 0.0000 0.5000 0.2500  4 Se 3.08, 4 Al 3.08, 4 Mg 3.09
Al: 0.0000 0.0000 0.0000  8 Mg 3.08, 4 Se 3.09
Se: 0.0000 0.0000 0.5000  8 Mg 3.08, 4 Al 3.09

Values from the calculation:
* electronic total energy: -2.75 eV/atom
* offset from the most stable computed form: 255 meV/atom
* N(E_F): 1.0 states/eV/f.u.
* formation energy (no corrections): -13.6 kJ/mol of atoms
* magnetization: 0.0 μB/f.u.
* crystal system: tetragonal

[4]
Here is crystalline Na8SbAu2 at its relaxed geometry from Alexandria via LeMat-Bulk. Energies are from PBE.

Unit cell a=16.8381 b=5.0506 c=7.8212 alpha=90.00 beta=117.63 gamma=90.00
With the nearest neighbours (Å) after each atom.
Space group C2/m (No. 12)
Unique sites:
Na: 0.0011 0.0000 0.2093  2 Au 3.20-3.22, 7 Na 3.24-3.46, 2 Sb 3.40
Na: 0.1550 0.0000 0.6576  8 Na 3.24-3.34, 2 Sb 3.42, 2 Au 3.47
Na: 0.1576 0.5000 0.9363  3 Au 3.08-3.19, 1 Sb 3.21, 3 Na 3.28-3.32
Na: 0.1590 0.5000 0.3819  3 Au 3.10-3.19, 1 Sb 3.21, 5 Na 3.29-3.46
Sb: 0.0000 0.5000 0.5000  12 Na 3.21-3.42
Au: 0.1852 0.0000 0.1840  8 Na 3.08-3.22

Values from the calculation:
* electronic total energy: -2.20 eV/atom
* N(E_F): 4.4 states/eV/f.u.
* formation energy (no corrections): -25.7 kJ/mol of atoms
* magnetization: 0.0 μB/f.u.
* crystal system: monoclinic

[5]
Here is crystalline LaNdDy3Th at its relaxed geometry from Alexandria via LeMat-Bulk. Energies are from PBE.

Unit cell a=19.9089 b=5.6589 c=7.1091 alpha=90.00 beta=90.24 gamma=90.00
With the nearest neighbours (Å) after each atom.
Space group C2/m (No. 12)
Unique sites:
La: 0.1456 0.0000 0.4557  1 Nd 2.99, 1 Dy 3.22
Nd: 0.1478 0.0000 0.0348  1 La 2.99, 2 Dy 3.18-3.32
Dy: 0.0236 0.0000 0.7524  1 Nd 3.18, 2 Th 3.22, 1 La 3.22
Dy: 0.1564 0.5000 0.7550  2 Nd 3.46, 2 La 3.55, 6 Dy 3.74-3.87
Dy: 0.2209 0.5000 0.2519  3 Nd 3.32-3.53, 1 Th 3.34, 3 La 3.37-3.52
Th: 0.0531 0.5000 0.2325  3 Dy 3.22-3.34

Values from the calculation:
* electronic total energy: -4.94 eV/atom
* N(E_F): 8.4 states/eV/f.u.
* magnetization: 0.0 μB/f.u.
* crystal system: monoclinic

[6]
Here is crystalline Hf5Zr2Sb5 at its relaxed geometry from Alexandria via LeMat-Bulk. Energies are from PBE.

Unit cell a=14.2220 b=3.9236 c=11.0175 alpha=90.00 beta=118.23 gamma=90.00
With the nearest neighbours (Å) after each atom.
Space group C2/m (No. 12)
Unique sites:
Hf: 0.0000 0.0000 0.0000  6 Sb 2.94-3.17, 4 Zr 3.21
Hf: 0.1244 0.0000 0.7653  7 Sb 3.02-3.26, 1 Hf 3.20, 2 Zr 3.23
Hf: 0.1630 0.0000 0.5014  5 Sb 2.99-3.06, 2 Zr 3.08, 3 Hf 3.17-3.20
Zr: 0.0639 0.5000 0.2575  4 Sb 2.95-3.20, 6 Hf 3.08-3.23
Sb: 0.0000 0.5000 0.5000  8 Hf 3.03-3.26, 2 Zr 3.20
Sb: 0.1489 0.5000 0.9867  5 Hf 2.94-3.09, 1 Zr 2.95
Sb: 0.2241 0.0000 0.2696  2 Zr 2.96, 6 Hf 2.99-3.17

Values from the calculation:
* electronic total energy: -7.73 eV/atom
* N(E_F): 7.9 states/eV/f.u.
* formation energy (no corrections): -42.3 kJ/mol of atoms
* magnetization: 0.0 μB/f.u.
* crystal system: monoclinic